# As2S2Br

Crystalline As2S2Br at its relaxed geometry (PBE, Alexandria).

Lattice parameters (Å, degrees): 5.4812 5.4853 8.2010 109.59 109.34 107.10
Closest atoms and distances in Å follow each position.
Fractional coordinates of all 5 atoms:
As 0.2984 0.7984 0.1117  2 S 2.27
As 0.7016 0.2016 0.8883  2 S 2.27
S 0.1808 0.3188 0.0000  2 As 2.27
S 0.8192 0.6812 0.0000  2 As 2.27
Br 0.5000 0.0000 0.5000  2 As 2.68

Output
- spin magnetization (Bohr magnetons per cell) = 0.00
- space group = P-1
- ΔE_f (raw) (eV/atom) = -0.065

=====

# AgHg2Ru

Crystalline AgHg2Ru at its relaxed geometry (PBE, Alexandria).

Lattice parameters (Å, degrees): 2.9580 2.9580 8.8518 90.00 90.00 90.00
Closest atoms and distances in Å follow each position.
Fractional coordinates of all 4 atoms:
Hg 0.0000 0.0000 0.9837  4 Hg 2.96, 4 Ag 3.08
Hg 0.5000 0.5000 0.2794  4 Ru 2.91, 4 Hg 2.96
Ru 0.0000 0.0000 0.5080  4 Ag 2.86, 4 Hg 2.91, 4 Ru 2.96
Ag 0.5000 0.5000 0.7288  4 Ru 2.86, 4 Ag 2.96, 4 Hg 3.08

Output
- spin magnetization (Bohr magnetons per cell) = 1.70
- space group = P4mm
- energy relative to the elements (eV per atom) = 0.452

=====

# Sr4CrAg

Crystalline Sr4CrAg at its relaxed geometry (PBE, Alexandria).

Lattice parameters (Å, degrees): 7.1957 7.1957 7.1957 60.00 60.00 60.00
Closest atoms and distances in Å follow each position.
Fractional coordinates of all 6 atoms:
Ag 0.7500 0.7500 0.7500  12 Sr 4.22, 4 Cr 4.41
Sr 0.8755 0.3748 0.3748  6 Sr 3.59-3.60
Sr 0.3748 0.3748 0.8755  6 Sr 3.59-3.60
Sr 0.3748 0.8755 0.3748  6 Sr 3.59-3.60
Sr 0.3748 0.3748 0.3748  6 Sr 3.59-3.60
Cr 0.0000 0.0000 0.0000  12 Sr 4.22, 4 Ag 4.41

Output
- spin magnetization (Bohr magnetons per cell) = 4.80
- space group = F-43m
- energy relative to the elements (eV per atom) = 0.817

=====

> spin magnetization of number 3 (Sr4CrAg)?

4.80 Bohr magnetons per cell